Record 1
# CsMnTl2Cl8

A relaxed CsMnTl2Cl8 crystal (PBE, Alexandria).

The structure belongs to space group P-1 (No. 2); the cell edges are 6.257, 7.198 and 9.383 Å and the angles 90.00°, 90.07° and 114.60°. The distinct sites, in fractional coordinates, are Cs at (0.000, 0.000, 0.000), Mn at (0.000, 0.000, 0.500), Tl at (0.001, 0.500, 0.249), Cl at (0.217, 0.812, 0.501), Cl at (0.240, 0.211, 0.672), Cl at (0.241, 0.211, 0.329) and Cl at (0.294, 0.672, 0.000).

The formation energy (no corrections) comes out at -12.10 eV/f.u.



Record 2
# Li3Ag3Pd4

A relaxed Li3Ag3Pd4 crystal (PBE, Alexandria).

The structure belongs to space group Amm2 (No. 38); the cell edges are 2.923, 10.065 and 10.629 Å and the angles 90.00°, 90.00° and 90.00°. The distinct sites, in fractional coordinates, are Li at (0.000, 0.000, 0.000), Li at (0.000, 0.162, 0.680), Ag at (0.000, 0.000, 0.331), Ag at (0.500, 0.243, 0.413), Pd at (0.500, 0.000, 0.552), Pd at (0.500, 0.000, 0.810) and Pd at (0.500, 0.139, 0.150).

The calculation puts the formation energy at -180 meV per atom.



Record 3
# FeTcHg2N

A relaxed FeTcHg2N crystal (PBE, Alexandria).

The structure belongs to space group P4/mmm (No. 123); the cell edges are 5.380, 5.380 and 3.703 Å and the angles 90.00°, 90.00° and 90.00°. The distinct sites, in fractional coordinates, are Fe at (0.000, 0.000, 0.000), Tc at (0.500, 0.500, 0.500), Hg at (0.000, 0.500, 0.500) and N at (0.500, 0.500, 0.000).

The formation energy (no corrections) comes out at 4.71 eV/f.u.



Record 4
# LiPbO2F

A relaxed LiPbO2F crystal (PBE, Alexandria).

The structure belongs to space group P4/mmm (No. 123); the cell edges are 4.255, 4.255 and 4.474 Å and the angles 90.00°, 90.00° and 90.00°. The distinct sites, in fractional coordinates, are Li at (0.000, 0.000, 0.000), Pb at (0.500, 0.500, 0.500), O at (0.000, 0.500, 0.500) and F at (0.500, 0.500, 0.000).

The formation energy (no corrections) comes out at -5.90 eV/f.u.



Record 5
# TlHgSeN2

A relaxed TlHgSeN2 crystal (PBE, Alexandria).

The structure belongs to space group P4/mmm (No. 123); the cell edges are 4.406, 4.406 and 5.860 Å and the angles 90.00°, 90.00° and 90.00°. The distinct sites, in fractional coordinates, are Tl at (0.000, 0.000, 0.000), Hg at (0.500, 0.500, 0.500), Se at (0.500, 0.500, 0.000) and N at (0.000, 0.500, 0.500).

The formation energy (no corrections) comes out at 8.12 eV/f.u.



Record 6
# Zr2Sc2C2N

A relaxed Zr2Sc2C2N crystal (PBE, Alexandria).

The structure belongs to space group Immm (No. 71); the cell edges are 3.300, 5.410 and 10.751 Å and the angles 90.00°, 90.00° and 90.00°. The distinct sites, in fractional coordinates, are Zr at (0.000, 0.000, 0.214), Sc at (0.000, 0.233, 0.500), C at (0.000, 0.500, 0.146) and N at (0.000, 0.000, 0.000).

The formation energy (no corrections) comes out at -4.78 eV/f.u.



Record 7
# La5TbSm

A relaxed La5TbSm crystal (PBE, Alexandria).

The structure belongs to space group C2/c (No. 15); the cell edges are 6.302, 17.830 and 9.211 Å and the angles 90.00°, 101.71° and 90.00°. The distinct sites, in fractional coordinates, are La at (0.000, 0.141, 0.250), La at (0.109, 0.347, 0.964), La at (0.205, 0.185, 0.649), Tb at (0.000, 0.490, 0.250) and Sm at (0.000, 0.000, 0.000).

The calculation puts the formation energy at 155 meV per atom.



Record 8
# KBeFe

A relaxed KBeFe crystal (PBE, Alexandria).

The structure belongs to space group F-43m (No. 216); the cell edges are 6.593, 6.593 and 6.593 Å and the angles 90.00°, 90.00° and 90.00°. The distinct sites, in fractional coordinates, are K at (0.000, 0.000, 0.000), Be at (0.000, 0.000, 0.500) and Fe at (0.250, 0.250, 0.250).

The calculation puts the formation energy at 1581 meV per atom.



no.,density of states at the Fermi level (states/eV per cell)
1,3.2
2,5.8
3,5.0
4,1.6
5,3.6
6,6.4
7,45.8
8,9.0